DFT (PBE+U) results for an optimized crystal structure of GaSnW2F.

Values from the calculation:
uncorrected energy: -3.400 eV/atom
DOS at the Fermi energy: 0.173 states/eV/atom

Cell and atoms, written as CIF:
```
data_GaSnW2F
_space_group_name_H-M_alt 'P 4/m m m'
_space_group_IT_number 123
_space_group_name_Hall '-P 4 2'
_cell_length_a 5.4942
_cell_length_b 5.4942
_cell_length_c 5.5750
_cell_angle_alpha 90.00
_cell_angle_beta 90.00
_cell_angle_gamma 90.00
loop_
_atom_site_label
_atom_site_type_symbol
_atom_site_fract_x
_atom_site_fract_y
_atom_site_fract_z
Ga1 Ga 0.0000 0.0000 0.0000
Sn1 Sn 0.0000 0.0000 0.5000
W1 W 0.0000 0.5000 0.5000
F1 F 0.5000 0.5000 0.0000
```